[1]
An optimized crystal structure of HfFeCl3, computed with PBE.

Computed properties:
Calculated total energy, eV per atom: -4.52
Space-group type: Pm-3m, No. 221
Raw formation energy, eV per atom: 0.27
Distance to the lowest polymorph of the same formula, kcal/mol of atoms: 11.67

Cell: 4.508 4.508 4.508 Å, 90.00 90.00 90.00°
Positions (direct):
Hf  0.500  0.500  0.500
Fe  0.000  0.000  0.000
Cl  0.000  0.500  0.000
Cl  0.000  0.000  0.500
Cl  0.500  0.000  0.000



[2]
An optimized crystal structure of MgGaW3, computed with PBE.

Computed properties:
Calculated total energy, eV per atom: -6.95
Space-group type: Pm-3m, No. 221
ΔE_f, meV per atom: 1746
Distance to the lowest polymorph of the same formula, kcal/mol of atoms: 0.00

Cell: 4.634 4.634 4.634 Å, 90.00 90.00 90.00°
Positions (direct):
Mg  0.500  0.500  0.500
Ga  0.000  0.000  0.000
W  0.000  0.500  0.000
W  0.000  0.000  0.500
W  0.500  0.000  0.000



[3]
An optimized crystal structure of Mg2TlBMo, computed with PBE.

Computed properties:
Calculated total energy, eV per atom: -3.69
Space-group type: P4/mmm, No. 123
ΔE_f, meV per atom: 924

Cell: 5.370 4.143 5.370 Å, 90.00 90.00 90.00°
Each line ends with the local moment (μB).
Positions (direct):
Mg  0.000  0.000  0.500  0.00
Mg  0.500  0.000  0.000  0.02
Tl  0.500  0.500  0.500  0.00
B  0.000  0.500  0.000  -0.04
Mo  0.000  0.000  0.000  1.06



[4]
An optimized crystal structure of Ac12SmNi7, computed with PBE.

Computed properties:
Calculated total energy, eV per atom: -4.87
Space-group type: R-3, No. 148
ΔE_f, meV per atom: -148

Cell: 9.409 9.409 9.409 Å, 107.42 107.42 107.42°
Positions (direct):
Ac  0.927  0.313  0.778
Ac  0.687  0.222  0.073
Ac  0.452  0.154  0.377
Ac  0.846  0.623  0.548
Ac  0.222  0.073  0.687
Ac  0.623  0.548  0.846
Ac  0.377  0.452  0.154
Ac  0.778  0.927  0.313
Ac  0.154  0.377  0.452
Ac  0.548  0.846  0.623
Ac  0.313  0.778  0.927
Ac  0.073  0.687  0.222
Sm  0.000  0.000  0.000
Ni  0.968  0.657  0.887
Ni  0.343  0.113  0.032
Ni  0.113  0.032  0.343
Ni  0.500  0.500  0.500
Ni  0.887  0.968  0.657
Ni  0.657  0.887  0.968
Ni  0.032  0.343  0.113



[5]
An optimized crystal structure of PmPr2Er3Se6, computed with PBE.

Computed properties:
Calculated total energy, eV per atom: -5.85
Space-group type: C2/m, No. 12
Raw formation energy, eV per atom: -1.78

Cell: 4.076 8.427 9.332 Å, 105.22 102.61 90.00°
Positions (direct):
Pm  0.500  0.000  0.000
Pr  0.833  0.666  0.666
Pr  0.167  0.334  0.334
Er  0.500  0.500  0.000
Er  0.832  0.167  0.665
Er  0.168  0.833  0.335
Se  0.330  0.930  0.661
Se  0.662  0.595  0.324
Se  0.670  0.070  0.339
Se  0.995  0.258  0.990
Se  0.005  0.742  0.010
Se  0.338  0.405  0.676



[6]
An optimized crystal structure of MgSi2P, computed with PBE.

Computed properties:
Calculated total energy, eV per atom: -4.14
Space-group type: I-4m2, No. 119
Raw formation energy, eV per atom: 0.32
Distance to the lowest polymorph of the same formula, kcal/mol of atoms: 6.31

Cell: 4.868 4.868 4.868 Å, 131.11 131.11 71.63°
Positions (direct):
Mg  0.500  0.500  0.000
P  0.750  0.250  0.500
Si  0.000  0.000  0.000
Si  0.250  0.750  0.500



- Which of these has the highest calculated total energy?
  Mg2TlBMo